1.
# BeMoP2

BeMoP2 after structural relaxation (PBE, Alexandria).

a = 3.108 Å, b = 3.081 Å, c = 5.614 Å
α = 90.00°, β = 102.70°, γ = 90.00°
Space group P2/m (No. 10)
Inequivalent atoms, fractional coordinates:
Be (0.000, 0.000, 0.000) [1 per cell]
Mo (0.000, 0.000, 0.500) [1 per cell]
P (0.402, 0.500, 0.253) [2 per cell]

Properties
- Calculated density: 5286 kg/m³

2.
# BeMo2P

BeMo2P after structural relaxation (PBE, Alexandria).

a = 3.293 Å, b = 3.704 Å, c = 4.370 Å
α = 90.00°, β = 90.00°, γ = 90.00°
Space group Pmmm (No. 47)
Inequivalent atoms, fractional coordinates:
Be (0.000, 0.000, 0.000) [1 per cell]
Mo (0.000, 0.500, 0.500) [1 per cell]
Mo (0.500, 0.500, 0.000) [1 per cell]
P (0.500, 0.000, 0.500) [1 per cell]

Properties
- Calculated density: 7224 kg/m³

3.
# BeMoP

BeMoP after structural relaxation (PBE, Alexandria).

a = 3.039 Å, b = 3.039 Å, c = 7.842 Å
α = 90.00°, β = 90.00°, γ = 90.00°
Space group I4mm (No. 107)
Inequivalent atoms, fractional coordinates:
Be (0.000, 0.000, 0.000) [2 per cell]
Mo (0.000, 0.000, 0.681) [2 per cell]
P (0.000, 0.000, 0.349) [2 per cell]

Properties
- Calculated density: 6231 kg/m³

4.
# BeMo2P

BeMo2P after structural relaxation (PBE, Alexandria).

a = 3.654 Å, b = 3.654 Å, c = 17.463 Å
α = 90.00°, β = 90.00°, γ = 90.00°
Space group I-42d (No. 122)
Inequivalent atoms, fractional coordinates:
Be (0.000, 0.000, 0.000) [4 per cell]
Mo (0.236, 0.250, 0.125) [8 per cell]
P (0.000, 0.000, 0.500) [4 per cell]

Properties
- Calculated density: 6603 kg/m³

5.
# BeMo2P

BeMo2P after structural relaxation (PBE, Alexandria).

a = 3.260 Å, b = 4.475 Å, c = 7.309 Å
α = 90.00°, β = 90.00°, γ = 90.00°
Space group Immm (No. 71)
Inequivalent atoms, fractional coordinates:
Be (0.000, 0.000, 0.000) [2 per cell]
Mo (0.000, 0.500, 0.246) [4 per cell]
P (0.000, 0.000, 0.500) [2 per cell]

Properties
- Calculated density: 7222 kg/m³

6.
# BeMoP2

BeMoP2 after structural relaxation (PBE, Alexandria).

a = 5.893 Å, b = 5.893 Å, c = 5.893 Å
α = 90.00°, β = 90.00°, γ = 90.00°
Space group F-43m (No. 216)
Inequivalent atoms, fractional coordinates:
Be (0.000, 0.000, 0.000) [4 per cell]
Mo (0.250, 0.250, 0.750) [4 per cell]
P (0.000, 0.000, 0.500) [4 per cell]
P (0.250, 0.250, 0.250) [4 per cell]

Properties
- Calculated density: 5417 kg/m³

7.
# BeMoP2

BeMoP2 after structural relaxation (PBE, Alexandria).

a = 4.054 Å, b = 4.054 Å, c = 3.111 Å
α = 90.00°, β = 90.00°, γ = 90.00°
Space group P4/mmm (No. 123)
Inequivalent atoms, fractional coordinates:
Be (0.000, 0.000, 0.000) [1 per cell]
Mo (0.500, 0.500, 0.000) [1 per cell]
P (0.000, 0.500, 0.500) [2 per cell]

Properties
- Calculated density: 5421 kg/m³

8.
# BeMo2P

BeMo2P after structural relaxation (PBE, Alexandria).

a = 3.353 Å, b = 4.675 Å, c = 6.878 Å
α = 90.00°, β = 90.00°, γ = 90.00°
Space group Cmmm (No. 65)
Inequivalent atoms, fractional coordinates:
Be (0.000, 0.000, 0.000) [2 per cell]
Mo (0.000, 0.500, 0.248) [4 per cell]
P (0.000, 0.000, 0.500) [2 per cell]

Properties
- Calculated density: 7142 kg/m³

| no. | formation enthalpy at 0 K (eV/atom) |
| --- | --- |
| 1 | -0.132 |
| 2 | 0.074 |
| 3 | -0.292 |
| 4 | 0.292 |
| 5 | 0.004 |
| 6 | 0.517 |
| 7 | 0.139 |
| 8 | 0.121 |